Record 1
! Fe3Co4 (GGA-PBE, optimized geometry); values from VASP
&SYSTEM
  ibrav = 0, nat = 7, ntyp = 2
/
ATOMIC_SPECIES
Co 58.93 Co.upf
Fe 55.84 Fe.upf
CELL_PARAMETERS angstrom
6.1705 -0.0019 -0.0012
4.8697 3.7896 -0.0012
4.8697 1.6707 3.4015
ATOMIC_POSITIONS crystal
Co 0.9991 0.9991 0.9991
Co 0.1435 0.1435 0.1435
Co 0.2873 0.2873 0.2873
Co 0.5708 0.5708 0.5708
Fe 0.8577 0.8577 0.8577
Fe 0.7131 0.7131 0.7131
Fe 0.4285 0.4285 0.4285
! E_form: 0.0000 eV/atom
! calculated density: 8.41 g/cm3
! electronic total energy: -7.6874 eV/atom
! size of the total moment: 14.756 μB per cell
! SG: R3m (160)
! relative energy among the computed polymorphs: 0.038 eV/atom

Record 2
! Sc5Zn4Os (GGA-PBE, optimized geometry); values from VASP
&SYSTEM
  ibrav = 0, nat = 10, ntyp = 3
/
ATOMIC_SPECIES
Os 190.23 Os.upf
Zn 65.41 Zn.upf
Sc 44.96 Sc.upf
CELL_PARAMETERS angstrom
3.3109 0.0000 0.0000
0.0000 3.3109 0.0000
0.0000 0.0000 16.7554
ATOMIC_POSITIONS crystal
Os 0.0000 0.0000 0.0000
Zn 0.0000 0.0000 0.6005
Zn 0.0000 0.0000 0.1962
Zn 0.0000 0.0000 0.3995
Zn 0.0000 0.0000 0.8038
Sc 0.5000 0.5000 0.9094
Sc 0.5000 0.5000 0.7021
Sc 0.5000 0.5000 0.2979
Sc 0.5000 0.5000 0.5000
Sc 0.5000 0.5000 0.0906
! E_form: -0.4119 eV/atom
! calculated density: 6.12 g/cm3
! electronic total energy: -5.2102 eV/atom
! size of the total moment: 0.000 μB per cell
! SG: P4/mmm (123)

Record 3
! K2PmMgF6 (GGA-PBE, optimized geometry); values from VASP
&SYSTEM
  ibrav = 0, nat = 10, ntyp = 4
/
ATOMIC_SPECIES
F 19.00 F.upf
Mg 24.30 Mg.upf
K 39.10 K.upf
Pm 145.00 Pm.upf
CELL_PARAMETERS angstrom
6.1735 0.0239 -0.3191
0.0270 6.2461 -0.2733
2.8776 2.9418 4.1117
ATOMIC_POSITIONS crystal
F 0.2372 0.7634 0.0064
F 0.7896 0.7935 0.9500
F 0.7628 0.2366 0.9936
F 0.2065 0.2102 0.5331
F 0.2104 0.2065 0.0500
F 0.7935 0.7898 0.4669
Mg 0.0000 0.0000 0.0000
K 0.2253 0.7758 0.5001
K 0.7747 0.2242 0.4999
Pm 0.5000 0.5000 0.0000
! calculated density: 3.55 g/cm3
! electronic total energy: -5.1281 eV/atom
! formation energy (no corrections): -3151 meV per atom
! size of the total moment: 0.634 μB per cell
! SG: C2/m (12)

Record 4
! Pr3Bi (GGA-PBE, optimized geometry); values from VASP
&SYSTEM
  ibrav = 0, nat = 8, ntyp = 2
/
ATOMIC_SPECIES
Pr 140.91 Pr.upf
Bi 208.98 Bi.upf
CELL_PARAMETERS angstrom
-2.7817 -0.9467 3.0843
3.1239 -5.9144 1.0021
5.1279 5.6684 6.3646
ATOMIC_POSITIONS crystal
Pr 0.7500 0.7698 0.5916
Pr 0.2500 0.2302 0.4084
Pr 0.7500 0.8998 0.1248
Pr 0.7500 0.4179 0.1459
Pr 0.2500 0.5821 0.8541
Pr 0.2500 0.1002 0.8752
Bi 0.7500 0.2818 0.6584
Bi 0.2500 0.7182 0.3416
! E_form: -0.3951 eV/atom
! calculated density: 7.42 g/cm3
! electronic total energy: -4.9499 eV/atom
! size of the total moment: 0.000 μB per cell
! SG: P2_1/m (11)
! relative energy among the computed polymorphs: 0.052 eV/atom

Record 5
! ZnReAsS2 (GGA-PBE, optimized geometry); values from VASP
&SYSTEM
  ibrav = 0, nat = 5, ntyp = 4
/
ATOMIC_SPECIES
S 32.06 S.upf
Re 186.21 Re.upf
Zn 65.41 Zn.upf
As 74.92 As.upf
CELL_PARAMETERS angstrom
-0.2603 -3.7032 -2.5080
3.6515 -2.4148 3.1866
-3.2979 -1.5381 2.6134
ATOMIC_POSITIONS crystal
S 0.0000 0.0000 0.5000
S 0.5000 0.0000 0.0000
Re 0.0000 0.0000 0.0000
Zn 0.5000 0.5000 0.5000
As 0.0000 0.5000 0.0000
! calculated density: 5.97 g/cm3
! electronic total energy: -4.9325 eV/atom
! formation energy (no corrections): 393 meV per atom
! size of the total moment: 0.000 μB per cell
! SG: P4/mmm (123)

Record 6
! YCdPtAu (GGA-PBE, optimized geometry); values from VASP
&SYSTEM
  ibrav = 0, nat = 4, ntyp = 4
/
ATOMIC_SPECIES
Au 196.97 Au.upf
Pt 195.08 Pt.upf
Cd 112.41 Cd.upf
Y 88.91 Y.upf
CELL_PARAMETERS angstrom
4.8776 0.0000 0.0000
2.4388 4.2241 0.0000
2.4388 1.4080 3.9826
ATOMIC_POSITIONS crystal
Au 0.2500 0.2500 0.2500
Pt 0.7500 0.7500 0.7500
Cd 0.0000 0.0000 0.0000
Y 0.5000 0.5000 0.5000
! E_form: -0.7402 eV/atom
! calculated density: 12.01 g/cm3
! electronic total energy: -4.9146 eV/atom
! size of the total moment: 0.000 μB per cell
! SG: F-43m (216)

Record 7
! Mn2FeCo (GGA-PBE, optimized geometry); values from VASP
&SYSTEM
  ibrav = 0, nat = 4, ntyp = 3
/
ATOMIC_SPECIES
Mn 54.94 Mn.upf
Fe 55.84 Fe.upf
Co 58.93 Co.upf
CELL_PARAMETERS angstrom
-0.7572 -3.2036 -3.3929
3.3563 -0.5739 -3.2793
-1.0513 -0.1824 4.6053
ATOMIC_POSITIONS crystal
Mn 0.4989 0.4989 0.0000
Mn 0.0011 0.0011 0.0000
Fe 0.2500 0.7500 0.5000
Co 0.7500 0.2500 0.5000
! E_form: 0.1256 eV/atom
! calculated density: 8.28 g/cm3
! electronic total energy: -8.3513 eV/atom
! size of the total moment: 6.958 μB per cell
! SG: Immm (71)
! relative energy among the computed polymorphs: 0.116 eV/atom

Record 8
! SrTePdI2 (GGA-PBE, optimized geometry); values from VASP
&SYSTEM
  ibrav = 0, nat = 5, ntyp = 4
/
ATOMIC_SPECIES
Te 127.60 Te.upf
Sr 87.62 Sr.upf
I 126.90 I.upf
Pd 106.42 Pd.upf
CELL_PARAMETERS angstrom
6.3074 0.0000 0.0000
0.0000 6.3074 0.0000
0.0000 0.0000 6.5051
ATOMIC_POSITIONS crystal
Te 0.0000 0.0000 0.5000
Sr 0.0000 0.0000 0.0000
I 0.0000 0.5000 0.0000
I 0.5000 0.0000 0.0000
Pd 0.5000 0.5000 0.5000
! calculated density: 3.69 g/cm3
! electronic total energy: -2.5934 eV/atom
! formation energy (no corrections): 30 meV per atom
! size of the total moment: 2.086 μB per cell
! SG: P4/mmm (123)
! relative energy among the computed polymorphs: 0.733 eV/atom

Record 9
! Cd4NiHg (GGA-PBE, optimized geometry); values from VASP
&SYSTEM
  ibrav = 0, nat = 6, ntyp = 3
/
ATOMIC_SPECIES
Cd 112.41 Cd.upf
Ni 58.69 Ni.upf
Hg 200.59 Hg.upf
CELL_PARAMETERS angstrom
-1.4839 -4.0330 3.6901
1.8843 0.2126 5.3374
-3.5801 1.2022 4.2215
ATOMIC_POSITIONS crystal
Cd 0.3745 0.3745 0.3745
Cd 0.8766 0.3745 0.3745
Cd 0.3745 0.3745 0.8766
Cd 0.3745 0.8766 0.3745
Ni 0.0000 0.0000 0.0000
Hg 0.7500 0.7500 0.7500
! E_form: 0.3591 eV/atom
! calculated density: 9.16 g/cm3
! electronic total energy: -1.2648 eV/atom
! size of the total moment: 0.002 μB per cell
! SG: F-43m (216)
! relative energy among the computed polymorphs: 0.345 eV/atom

Record 10
! Ta2Ti4Os (GGA-PBE, optimized geometry); values from VASP
&SYSTEM
  ibrav = 0, nat = 7, ntyp = 3
/
ATOMIC_SPECIES
Ta 180.95 Ta.upf
Ti 47.87 Ti.upf
Os 190.23 Os.upf
CELL_PARAMETERS angstrom
-2.6263 -3.5504 1.6083
0.3160 -2.1269 -4.1793
4.2187 -5.9195 0.6888
ATOMIC_POSITIONS crystal
Ta 0.6146 0.6146 0.7708
Ta 0.3854 0.3854 0.2292
Ti 0.5000 0.0000 0.0000
Ti 0.8097 0.8097 0.3806
Ti 0.0000 0.5000 0.0000
Ti 0.1903 0.1903 0.6194
Os 0.0000 0.0000 0.0000
! E_form: 0.8567 eV/atom
! calculated density: 8.60 g/cm3
! electronic total energy: -8.6454 eV/atom
! size of the total moment: 0.000 μB per cell
! SG: I4/mmm (139)
! relative energy among the computed polymorphs: 0.981 eV/atom

Record 11
! CrReRh2 (GGA-PBE, optimized geometry); values from VASP
&SYSTEM
  ibrav = 0, nat = 8, ntyp = 3
/
ATOMIC_SPECIES
Rh 102.91 Rh.upf
Cr 52.00 Cr.upf
Re 186.21 Re.upf
CELL_PARAMETERS angstrom
4.8467 0.1073 0.0000
-0.8299 4.7763 0.0000
0.0000 0.0000 4.9385
ATOMIC_POSITIONS crystal
Rh 0.3560 0.9872 0.8749
Rh 0.0128 0.6440 0.3749
Rh 0.9872 0.3560 0.8749
Rh 0.6440 0.0128 0.3749
Cr 0.8472 0.8472 0.8755
Cr 0.1528 0.1528 0.3755
Re 0.5001 0.5001 0.6250
Re 0.4999 0.4999 0.1250
! E_form: 0.0588 eV/atom
! calculated density: 12.85 g/cm3
! electronic total energy: -9.1348 eV/atom
! size of the total moment: 2.579 μB per cell
! SG: Cmcm (63)
! relative energy among the computed polymorphs: 0.192 eV/atom

Record 12
! La7Tb2Th (GGA-PBE, optimized geometry); values from VASP
&SYSTEM
  ibrav = 0, nat = 10, ntyp = 3
/
ATOMIC_SPECIES
Tb 158.93 Tb.upf
La 138.91 La.upf
Th 232.04 Th.upf
CELL_PARAMETERS angstrom
-2.0506 1.4644 2.5580
-2.8448 -8.8284 5.2997
7.5332 4.9527 5.7303
ATOMIC_POSITIONS crystal
Tb 0.5000 0.1626 0.8373
Tb 0.5000 0.8374 0.1627
La 0.7526 0.3877 0.1078
La 0.7527 0.1078 0.3877
La 0.0000 0.3263 0.6737
La 0.5000 0.5000 0.5000
La 0.0000 0.6737 0.3263
La 0.2473 0.8922 0.6123
La 0.2474 0.6123 0.8922
Th 0.0000 0.0000 0.0000
! E_form: 0.2661 eV/atom
! calculated density: 6.76 g/cm3
! electronic total energy: -4.8511 eV/atom
! size of the total moment: 0.000 μB per cell
! SG: Immm (71)